A plane-wave DFT calculation with PBE-GGA was carried out for a relaxed structure of SmHo4AgS8.

raw total energy: -6.028 eV per atom
SG: R3m

a b c (Å): 8.066 8.066 8.066
angles (deg): 59.47 59.47 59.47
Atoms (fractional coordinates):
Sm (0.000, 0.000, 0.000)
Ho (0.000, 0.000, 0.517)
Ho (0.000, 0.517, 0.000)
Ho (0.378, 0.378, 0.378)
Ho (0.517, 0.000, 0.000)
Ag (0.630, 0.630, 0.630)
S (0.232, 0.758, 0.758)
S (0.245, 0.245, 0.245)
S (0.250, 0.250, 0.777)
S (0.250, 0.777, 0.250)
S (0.758, 0.232, 0.758)
S (0.758, 0.758, 0.232)
S (0.762, 0.762, 0.762)
S (0.777, 0.250, 0.250)